CaYBe2, relaxed, DFT PBE; energy above the most stable polymorph in this dataset = 0.046 eV per atom; spin magnetization = 0.000 μB/cell; ΔE_f = 0.25 eV/atom
1.0
0.000 3.453 3.453
3.453 0.000 3.453
3.453 3.453 0.000
Be Y Ca
2 1 1
Direct
0.750 0.750 0.750
0.250 0.250 0.250
0.500 0.500 0.500
0.000 0.000 0.000

***

LiReAg2, relaxed, DFT PBE; energy above the most stable polymorph in this dataset = 0.169 eV per atom; spin magnetization = 1.003 μB/cell; ΔE_f = 0.46 eV/atom
1.0
-1.857 3.818 0.797
-0.938 0.060 -2.476
-5.254 -2.585 0.137
Ag Li Re
2 1 1
Direct
0.000 0.425 0.498
0.000 0.075 0.002
0.500 0.250 0.250
0.500 0.750 0.750

***

SmBi2, relaxed, DFT PBE; spin magnetization = 0.000 μB/cell; ΔE_f = -0.32 eV/atom
1.0
-2.779 3.451 3.190
-5.376 -0.652 0.695
-1.312 -3.844 7.687
Bi Sm
4 2
Direct
0.651 0.651 0.046
0.217 0.217 0.348
0.349 0.349 0.954
0.783 0.783 0.652
0.922 0.922 0.233
0.078 0.078 0.767

***

CaPrSi2, relaxed, DFT PBE; energy above the most stable polymorph in this dataset = 0.000 eV per atom; spin magnetization = 0.000 μB/cell; uncorrected formation energy = -0.636 eV/atom
1.0
4.227 0.000 -1.541
0.000 3.919 0.000
-0.241 0.000 5.903
Pr Si Ca
1 2 1
Direct
0.724 0.000 0.987
0.152 0.500 0.843
0.013 0.000 0.565
0.442 0.500 0.423

***

GaBiIr2, relaxed, DFT PBE; energy above the most stable polymorph in this dataset = 0.235 eV per atom; spin magnetization = 0.000 μB/cell; ΔE_f = 0.54 eV/atom
1.0
-5.113 2.084 -0.772
-0.491 -2.949 -4.706
-5.265 -5.260 0.543
Ga Ir Bi
2 4 2
Direct
0.250 0.750 0.500
0.500 0.500 0.000
0.163 0.625 0.250
0.375 0.413 0.750
0.587 0.125 0.250
0.875 0.837 0.750
0.750 0.250 0.500
0.000 0.000 0.000

***

MoOsW2, relaxed, DFT PBE; energy above the most stable polymorph in this dataset = 0.011 eV per atom; spin magnetization = 0.000 μB/cell; ΔE_f = 0.15 eV/atom
1.0
-3.114 -3.295 2.563
2.223 -4.350 1.807
0.085 5.205 0.160
W Mo Os
2 1 1
Direct
0.507 0.507 0.000
0.993 0.993 0.000
0.750 0.250 0.500
0.250 0.750 0.500

***

Tb3ErThSc, relaxed, DFT PBE; spin magnetization = 0.000 μB/cell; ΔE_f = 0.05 eV/atom
1.0
4.933 0.000 0.000
-2.466 7.441 0.000
0.000 0.000 9.988
Tb Er Sc Th
6 2 2 2
Direct
0.335 0.670 0.000
0.335 0.670 0.500
0.832 0.665 0.250
0.168 0.335 0.750
0.665 0.330 0.000
0.665 0.330 0.500
0.000 0.000 0.500
0.000 0.000 0.000
0.836 0.671 0.750
0.164 0.329 0.250
0.503 0.006 0.250
0.497 0.994 0.750

***

CeY3Tl2S, relaxed, DFT PBE; spin magnetization = 0.865 μB/cell; uncorrected formation energy = -0.597 eV/atom
1.0
-1.405 -4.751 1.633
4.469 -1.891 -1.657
1.714 4.794 7.089
Tl Y Ce S
2 3 1 1
Direct
0.632 0.632 0.264
0.368 0.368 0.736
0.000 0.500 0.000
0.828 0.828 0.655
0.172 0.172 0.345
0.500 0.000 0.000
0.000 0.000 0.000

***

Be2CoAsOs, relaxed, DFT PBE; spin magnetization = 2.044 μB/cell; ΔE_f = 0.90 eV/atom
1.0
4.269 0.000 0.000
0.000 4.581 0.000
0.000 0.000 4.269
Co Os Be As
1 1 2 1
Direct
0.500 0.500 0.500
0.000 0.000 0.000
0.000 0.000 0.500
0.500 0.000 0.000
0.000 0.500 0.000

***

TbDyInGa, relaxed, DFT PBE; energy above the most stable polymorph in this dataset = 0.019 eV per atom; spin magnetization = 0.000 μB/cell; ΔE_f = -0.50 eV/atom
1.0
5.205 0.000 0.000
2.603 4.508 0.000
2.603 1.503 4.250
Ga Dy In Tb
1 1 1 1
Direct
0.750 0.750 0.750
0.500 0.500 0.500
0.250 0.250 0.250
0.000 0.000 0.000

***

La2Zn5Pd, relaxed, DFT PBE; spin magnetization = 0.000 μB/cell; ΔE_f = -0.44 eV/atom
1.0
-1.395 3.072 2.823
-6.607 -1.304 -5.274
-3.154 -6.554 5.573
La Zn Pd
4 10 2
Direct
0.000 0.000 0.500
0.194 0.388 0.250
0.806 0.612 0.750
0.000 0.000 0.000
0.812 0.625 0.111
0.400 0.799 0.250
0.654 0.307 0.483
0.188 0.375 0.889
0.654 0.307 0.017
0.346 0.693 0.517
0.600 0.201 0.750
0.812 0.625 0.389
0.346 0.693 0.983
0.188 0.375 0.611
0.444 0.888 0.750
0.556 0.112 0.250

***

TcP2W, relaxed, DFT PBE; energy above the most stable polymorph in this dataset = 0.107 eV per atom; spin magnetization = 0.000 μB/cell; ΔE_f = -0.30 eV/atom
1.0
3.131 0.000 0.000
0.000 3.131 0.000
0.000 0.000 5.625
Tc P W
1 2 1
Direct
0.000 0.000 0.440
0.000 0.000 0.992
0.500 0.500 0.261
0.500 0.500 0.807

***

- spin magnetization of number 3 (SmBi2)?
  0.000 μB/cell

***

- Which formula does entry 2 have?
  LiReAg2

***

- Which of these has the highest spin magnetization?
  Be2CoAsOs